Entry 1:
This record from Alexandria via LeMat-Bulk describes a relaxed structure of CsSr2Cr. The functional is PBE.

## Properties
VASP energy in eV for the cell shown: -11.27
Magnetic moment in μB/cell: 5.560
Symmetry: Fm-3m (225)
Energy relative to the elements in eV/atom: 0.642

Geometry as extended XYZ:
```
4
Lattice="0.000 4.461 4.461 4.461 0.000 4.461 4.461 4.461 0.000" Properties=species:S:1:pos:R:3 pbc="T T T"
Cs 0.000 0.000 0.000
Sr 2.231 2.231 2.231
Sr 6.692 6.692 6.692
Cr 4.461 4.461 4.461
```

=====

Entry 2:
This record from Alexandria via LeMat-Bulk describes a relaxed structure of CsSr2CrTc. The functional is PBE.

## Properties
VASP energy in eV for the cell shown: -20.52
Magnetic moment in μB/cell: 2.349
Symmetry: P4/mmm (123)
Energy relative to the elements in eV/atom: 0.737

Geometry as extended XYZ:
```
5
Lattice="6.174 0.000 0.000 0.000 6.174 0.000 0.000 0.000 4.765" Properties=species:S:1:pos:R:3 pbc="T T T"
Cs 0.000 0.000 0.000
Sr 0.000 3.087 2.382
Sr 3.087 0.000 2.382
Cr 3.087 3.087 0.000
Tc 3.087 3.087 2.382
```

=====

Entry 3:
This record from Alexandria via LeMat-Bulk describes a relaxed structure of Cs2Ta2Cr. The functional is PBE.

## Properties
VASP energy in eV for the cell shown: -23.51
Magnetic moment in μB/cell: 0.091
Symmetry: I4/mmm (139)
Energy relative to the elements in eV/atom: 2.306

Geometry as extended XYZ:
```
5
Lattice="-2.131 2.131 8.492 2.131 -2.131 8.492 2.131 2.131 -8.492" Properties=species:S:1:pos:R:3 pbc="T T T"
Cs 2.131 0.000 4.246
Cs 0.000 2.131 4.246
Ta 0.000 0.000 1.139
Ta 0.000 0.000 15.845
Cr 0.000 0.000 8.492
```

=====

Entry 4:
This record from Alexandria via LeMat-Bulk describes a relaxed structure of CsTa3Cr. The functional is PBE.

## Properties
Energy relative to the lowest polymorph listed for this composition in meV/atom: 0
VASP energy in eV for the cell shown: -37.96
Magnetic moment in μB/cell: 0.000
Symmetry: Pm-3m (221)
Energy relative to the elements in eV/atom: 1.614

Geometry as extended XYZ:
```
5
Lattice="4.861 0.000 0.000 0.000 4.861 0.000 0.000 0.000 4.861" Properties=species:S:1:pos:R:3 pbc="T T T"
Cs 0.000 0.000 0.000
Ta 0.000 2.431 2.431
Ta 2.431 0.000 2.431
Ta 2.431 2.431 0.000
Cr 2.431 2.431 2.431
```

=====

Entry 5:
This record from Alexandria via LeMat-Bulk describes a relaxed structure of CsTa2Cr. The functional is PBE.

## Properties
Energy relative to the lowest polymorph listed for this composition in meV/atom: 82
VASP energy in eV for the cell shown: -52.75
Magnetic moment in μB/cell: 0.001
Symmetry: I4_1/amd (141)
Energy relative to the elements in eV/atom: 1.952

Geometry as extended XYZ:
```
8
Lattice="-3.660 3.660 5.183 3.660 -3.660 5.183 3.660 3.660 -5.183" Properties=species:S:1:pos:R:3 pbc="T T T"
Cs 3.660 1.830 1.296
Cs 0.000 1.830 3.887
Ta 0.000 0.000 0.000
Ta 1.830 1.830 -2.591
Ta 1.830 -1.830 2.591
Ta 0.000 3.660 0.000
Cr 3.660 -1.830 3.887
Cr 0.000 5.490 1.296
```

=====

Entry 6:
This record from Alexandria via LeMat-Bulk describes a relaxed structure of CsTa2Cr. The functional is PBE.

## Properties
Energy relative to the lowest polymorph listed for this composition in meV/atom: 0
VASP energy in eV for the cell shown: -26.70
Magnetic moment in μB/cell: 1.747
Symmetry: Fm-3m (225)
Energy relative to the elements in eV/atom: 1.870

Geometry as extended XYZ:
```
4
Lattice="0.000 3.391 3.391 3.391 0.000 3.391 3.391 3.391 0.000" Properties=species:S:1:pos:R:3 pbc="T T T"
Cs 0.000 0.000 0.000
Ta 1.696 1.696 1.696
Ta 5.087 5.087 5.087
Cr 3.391 3.391 3.391
```

=====

Entry 7:
This record from Alexandria via LeMat-Bulk describes a relaxed structure of CsTa3Cr. The functional is PBE.

## Properties
Energy relative to the lowest polymorph listed for this composition in meV/atom: 1689
VASP energy in eV for the cell shown: -29.52
Magnetic moment in μB/cell: 4.054
Symmetry: Pm-3m (221)
Energy relative to the elements in eV/atom: 3.304

Geometry as extended XYZ:
```
5
Lattice="5.014 0.000 0.000 0.000 5.014 0.000 0.000 0.000 5.014" Properties=species:S:1:pos:R:3 pbc="T T T"
Cs 0.000 0.000 0.000
Ta 0.000 0.000 2.507
Ta 0.000 2.507 0.000
Ta 2.507 0.000 0.000
Cr 2.507 2.507 2.507
```

=====

Entry 8:
This record from Alexandria via LeMat-Bulk describes a relaxed structure of CsTa2Cr2. The functional is PBE.

## Properties
VASP energy in eV for the cell shown: -76.76
Magnetic moment in μB/cell: 5.296
Symmetry: P4/mbm (127)
Energy relative to the elements in eV/atom: 1.085

Geometry as extended XYZ:
```
10
Lattice="8.366 0.000 0.000 0.000 8.366 0.000 0.000 0.000 3.110" Properties=species:S:1:pos:R:3 pbc="T T T"
Cs 0.000 0.000 0.000
Cs 4.183 4.183 0.000
Ta 1.035 3.148 1.555
Ta 3.148 7.331 1.555
Ta 5.218 1.035 1.555
Ta 7.331 5.218 1.555
Cr 1.030 5.212 0.000
Cr 3.153 1.030 0.000
Cr 5.212 7.336 0.000
Cr 7.336 3.153 0.000
```

=====

Entry 9:
This record from Alexandria via LeMat-Bulk describes a relaxed structure of CsCrTc2. The functional is PBE.

## Properties
Energy relative to the lowest polymorph listed for this composition in meV/atom: 110
VASP energy in eV for the cell shown: -24.06
Magnetic moment in μB/cell: 1.118
Symmetry: Fm-3m (225)
Energy relative to the elements in eV/atom: 1.787

Geometry as extended XYZ:
```
4
Lattice="0.000 3.287 3.287 3.287 0.000 3.287 3.287 3.287 0.000" Properties=species:S:1:pos:R:3 pbc="T T T"
Cs 0.000 0.000 0.000
Cr 3.287 3.287 3.287
Tc 1.644 1.644 1.644
Tc 4.931 4.931 4.931
```

=====

Entry 10:
This record from Alexandria via LeMat-Bulk describes a relaxed structure of CsCrTc3. The functional is PBE.

## Properties
Energy relative to the lowest polymorph listed for this composition in meV/atom: 1919
VASP energy in eV for the cell shown: -23.48
Magnetic moment in μB/cell: 1.090
Symmetry: Pm-3m (221)
Energy relative to the elements in eV/atom: 3.620

Geometry as extended XYZ:
```
5
Lattice="4.802 0.000 0.000 0.000 4.802 0.000 0.000 0.000 4.802" Properties=species:S:1:pos:R:3 pbc="T T T"
Cs 0.000 0.000 0.000
Cr 2.401 2.401 2.401
Tc 0.000 0.000 2.401
Tc 0.000 2.401 0.000
Tc 2.401 0.000 0.000
```

=====

Entry 11:
This record from Alexandria via LeMat-Bulk describes a relaxed structure of CsCrTc2. The functional is PBE.

## Properties
Energy relative to the lowest polymorph listed for this composition in meV/atom: 0
VASP energy in eV for the cell shown: -49.00
Magnetic moment in μB/cell: 0.258
Symmetry: I4_1/amd (141)
Energy relative to the elements in eV/atom: 1.677

Geometry as extended XYZ:
```
8
Lattice="-2.573 2.573 8.457 2.573 -2.573 8.457 2.573 2.573 -8.457" Properties=species:S:1:pos:R:3 pbc="T T T"
Cs 2.573 1.286 2.114
Cs 0.000 1.286 6.342
Cr 2.573 -1.286 6.342
Cr 0.000 3.859 2.114
Tc 0.000 0.000 0.000
Tc 1.286 1.286 -4.228
Tc 1.286 -1.286 4.228
Tc 0.000 2.573 0.000
```

=====

Entry 12:
This record from Alexandria via LeMat-Bulk describes a relaxed structure of Cs2CrTc. The functional is PBE.

## Properties
VASP energy in eV for the cell shown: -10.69
Magnetic moment in μB/cell: 0.015
Symmetry: Fm-3m (225)
Energy relative to the elements in eV/atom: 2.751

Geometry as extended XYZ:
```
4
Lattice="0.000 3.631 3.631 3.631 0.000 3.631 3.631 3.631 0.000" Properties=species:S:1:pos:R:3 pbc="T T T"
Cs 1.816 1.816 1.816
Cs 5.447 5.447 5.447
Cr 0.000 0.000 0.000
Tc 3.631 3.631 3.631
```

=====

Entry 13:
This record from Alexandria via LeMat-Bulk describes a relaxed structure of CsCrTc3. The functional is PBE.

## Properties
Energy relative to the lowest polymorph listed for this composition in meV/atom: 0
VASP energy in eV for the cell shown: -33.07
Magnetic moment in μB/cell: 3.615
Symmetry: Pm-3m (221)
Energy relative to the elements in eV/atom: 1.701

Geometry as extended XYZ:
```
5
Lattice="4.710 0.000 0.000 0.000 4.710 0.000 0.000 0.000 4.710" Properties=species:S:1:pos:R:3 pbc="T T T"
Cs 0.000 0.000 0.000
Cr 2.355 2.355 2.355
Tc 0.000 2.355 2.355
Tc 2.355 0.000 2.355
Tc 2.355 2.355 0.000
```

=====

Entry 14:
This record from Alexandria via LeMat-Bulk describes a relaxed structure of CsCr2Te3. The functional is PBE.

## Properties
Formation energy without anion corrections in eV/atom: -0.351
VASP energy in eV for the cell shown: -63.26
Magnetic moment in μB/cell: 14.000
Symmetry: Cmcm (63)

Geometry as extended XYZ:
```
12
Lattice="2.108 -8.618 0.000 2.108 8.618 0.000 0.000 0.000 11.087" Properties=species:S:1:pos:R:3 pbc="T T T"
Cs 2.108 4.344 8.315
Cs 2.108 -4.344 2.772
Cr 0.000 0.000 0.000
Cr 0.000 0.000 5.543
Cr 2.108 0.553 2.772
Cr 2.108 -0.553 8.315
Te 2.108 7.563 2.772
Te 2.108 1.839 0.467
Te 2.108 1.839 5.077
Te 2.108 -1.839 6.010
Te 2.108 -1.839 10.620
Te 2.108 -7.563 8.315
```

=====

Entry 15:
This record from Alexandria via LeMat-Bulk describes a relaxed structure of CsCrTe2. The functional is PBE.

## Properties
Formation energy without anion corrections in eV/atom: 0.204
VASP energy in eV for the cell shown: -15.95
Magnetic moment in μB/cell: 3.042
Symmetry: Fm-3m (225)

Geometry as extended XYZ:
```
4
Lattice="0.000 4.017 4.017 4.017 0.000 4.017 4.017 4.017 0.000" Properties=species:S:1:pos:R:3 pbc="T T T"
Cs 0.000 0.000 0.000
Cr 4.017 4.017 4.017
Te 2.009 2.009 2.009
Te 6.026 6.026 6.026
```

=====

Entry 16:
This record from Alexandria via LeMat-Bulk describes a relaxed structure of CsCrTe4. The functional is PBE.

## Properties
Formation energy without anion corrections in eV/atom: -0.266
VASP energy in eV for the cell shown: -49.27
Magnetic moment in μB/cell: 5.987
Symmetry: C2/c (15)

Geometry as extended XYZ:
```
12
Lattice="5.823 -4.747 0.000 5.823 4.747 0.000 -1.552 0.000 8.160" Properties=species:S:1:pos:R:3 pbc="T T T"
Cs 4.659 4.555 6.120
Cs 5.435 -4.555 2.040
Cr 4.659 0.475 6.120
Cr 5.435 -0.475 2.040
Te 2.371 0.964 4.605
Te 4.745 1.398 0.151
Te 3.147 -0.964 0.525
Te 6.126 1.398 3.929
Te 3.969 -1.398 4.231
Te 6.948 0.964 7.635
Te 5.350 -1.398 8.009
Te 7.724 -0.964 3.555
```

=====

Entry 17:
This record from Alexandria via LeMat-Bulk describes a relaxed structure of Cs3CrTe3. The functional is PBE.

## Properties
Formation energy without anion corrections in eV/atom: -0.756
VASP energy in eV for the cell shown: -107.61
Magnetic moment in μB/cell: 12.000
Symmetry: Cmce (64)

Geometry as extended XYZ:
```
28
Lattice="11.203 -3.988 0.000 11.203 3.988 0.000 0.000 0.000 15.138" Properties=species:S:1:pos:R:3 pbc="T T T"
Cs 3.954 1.273 13.206
Cs 11.203 2.767 12.585
Cs 7.249 1.273 9.502
Cs 3.954 -1.273 1.933
Cs 11.203 1.220 5.015
Cs 7.249 -1.273 5.637
Cs 15.158 1.273 9.502
Cs 11.203 -1.220 10.123
Cs 18.452 1.273 13.206
Cs 15.158 -1.273 5.637
Cs 11.203 -2.767 2.554
Cs 18.452 -1.273 1.933
Cr 1.723 0.000 7.569
Cr 9.480 0.000 0.000
Cr 12.927 0.000 0.000
Cr 20.683 0.000 7.569
Te 7.857 2.789 5.892
Te 7.857 1.199 13.461
Te 11.203 2.368 8.765
Te 11.203 1.620 1.196
Te 14.550 2.789 5.892
Te 14.550 1.199 13.461
Te 7.857 -1.199 1.678
Te 7.857 -2.789 9.247
Te 11.203 -1.620 13.942
Te 11.203 -2.368 6.373
Te 14.550 -1.199 1.678
Te 14.550 -2.789 9.247
```

=====

Entry 18:
This record from Alexandria via LeMat-Bulk describes a relaxed structure of Cs2CrTe2. The functional is PBE.

## Properties
Formation energy without anion corrections in eV/atom: -0.665
VASP energy in eV for the cell shown: -41.88
Magnetic moment in μB/cell: 8.000
Symmetry: Ibam (72)

Geometry as extended XYZ:
```
10
Lattice="-3.980 7.743 3.641 3.980 -7.743 3.641 3.980 7.743 -3.641" Properties=species:S:1:pos:R:3 pbc="T T T"
Cs 1.362 2.232 0.000
Cs 1.362 -2.232 3.641
Cs 2.618 9.974 0.000
Cs 2.618 5.511 3.641
Cr 3.980 0.000 1.821
Cr 0.000 7.743 1.821
Te 5.339 1.544 0.000
Te 1.359 6.198 0.000
Te 2.621 1.544 3.641
Te -1.359 6.198 3.641
```

=====

Entry 19:
This record from Alexandria via LeMat-Bulk describes a relaxed structure of CsCrTe2. The functional is PBE.

## Properties
Formation energy without anion corrections in eV/atom: -0.452
VASP energy in eV for the cell shown: -37.14
Magnetic moment in μB/cell: 6.000
Symmetry: I-42d (122)

Geometry as extended XYZ:
```
8
Lattice="-4.177 4.177 4.610 4.177 -4.177 4.610 4.177 4.177 -4.610" Properties=species:S:1:pos:R:3 pbc="T T T"
Cs 0.000 0.000 0.000
Cs 0.000 4.177 2.305
Cr 4.177 0.000 2.305
Cr 0.000 0.000 4.610
Te 2.088 -1.086 3.458
Te 3.090 2.088 1.153
Te 2.088 5.263 -1.153
Te 1.086 2.088 5.763
```

=====

Entry 20:
This record from Alexandria via LeMat-Bulk describes a relaxed structure of Cs3Cr5Te12. The functional is PBE.

## Properties
Formation energy without anion corrections in eV/atom: -0.172
VASP energy in eV for the cell shown: -367.30
Magnetic moment in μB/cell: 35.821
Symmetry: Ia-3d (230)

Geometry as extended XYZ:
```
80
Lattice="-8.926 8.926 8.926 8.926 -8.926 8.926 8.926 8.926 -8.926" Properties=species:S:1:pos:R:3 pbc="T T T"
Cs 4.463 2.232 0.000
Cs 8.926 4.463 -2.232
Cs 2.232 0.000 4.463
Cs 11.158 0.000 4.463
Cs 0.000 4.463 2.232
Cs 4.463 -2.232 8.926
Cs 4.463 11.158 0.000
Cs 8.926 4.463 6.695
Cs -2.232 8.926 4.463
Cs 6.695 8.926 4.463
Cs 0.000 4.463 11.158
Cs 4.463 6.695 8.926
Cr 0.000 0.000 0.000
Cr 4.463 4.463 -4.463
Cr 4.463 -4.463 4.463
Cr 8.926 0.000 0.000
Cr 13.389 2.232 0.000
Cr 8.926 -4.463 6.695
Cr 6.695 8.926 -4.463
Cr 6.695 0.000 4.463
Cr 4.463 6.695 0.000
Cr 8.926 4.463 2.232
Cr -4.463 4.463 4.463
Cr 0.000 8.926 0.000
Cr 0.000 0.000 8.926
Cr 4.463 4.463 4.463
Cr 0.000 4.463 6.695
Cr 4.463 2.232 8.926
Cr 2.232 8.926 4.463
Cr 2.232 0.000 13.389
Cr 0.000 13.389 2.232
Cr -4.463 6.695 8.926
Te 6.965 -5.349 5.395
Te 15.350 0.932 -0.886
Te 12.503 3.531 -1.961
Te 9.812 -6.424 7.994
Te 5.395 6.965 -5.349
Te 7.994 -0.886 2.502
Te 11.428 0.932 0.886
Te 10.887 -3.577 5.395
Te 7.994 9.812 -6.424
Te 5.395 -1.961 5.349
Te 5.349 5.395 -1.961
Te 8.040 2.502 0.932
Te 8.040 -2.502 7.994
Te 14.276 3.531 1.961
Te 7.994 8.040 -2.502
Te 5.395 1.961 3.577
Te 2.502 7.994 -0.886
Te 10.887 3.577 3.531
Te 5.395 10.887 -3.577
Te 7.994 0.886 6.424
Te 3.577 5.395 1.961
Te 9.812 6.424 0.932
Te 6.424 7.994 0.886
Te 6.965 5.349 3.531
Te 1.961 3.577 5.395
Te 2.502 0.932 8.040
Te -0.886 2.502 7.994
Te 5.349 3.531 6.965
Te 0.932 8.040 2.502
Te 3.531 -1.961 12.503
Te -1.961 5.349 5.395
Te 6.424 0.932 9.812
Te 3.531 6.965 5.349
Te 0.932 0.886 11.428
Te -5.349 5.395 6.965
Te 0.886 11.428 0.932
Te 0.886 6.424 7.994
Te 3.577 3.531 10.887
Te 3.531 10.887 3.577
Te 0.932 -0.886 15.350
Te -1.961 12.503 3.531
Te -2.502 7.994 8.040
Te 0.932 9.812 6.424
Te 3.531 1.961 14.276
Te -0.886 15.350 0.932
Te -3.577 5.395 10.887
Te -6.424 7.994 9.812
Te 1.961 14.276 3.531
```